YEr2Co | PBE | relaxed

Lattice parameters (Å, degrees): 6.9253 9.3252 6.2170 90.00 90.00 90.00
With the nearest neighbours (Å) after each atom.
Space group Pnma (No. 62)
Asymmetric unit:
Y1 0.0409 0.2500 0.1375  2 Co 2.68-2.79
Er1 0.1745 0.0676 0.6763  2 Co 2.72-2.81
Co1 0.1116 0.7500 0.4472  2 Y 2.68-2.79, 4 Er 2.72-2.81

Calculated values
Theoretical density   7.98 g/cm³
Formation energy   -0.17 eV per atom